[1]
RhPb2Br | GGA-PBEsol | relaxed

Cell lengths 6.473, 6.473, 6.473 Å; angles 143.25, 143.25, 52.95 degrees
Sites, in units of the cell vectors:
Rh: 0.000 0.000 0.000
Pb: 0.250 0.750 0.500
Pb: 0.500 0.500 0.000
Br: 0.750 0.250 0.500

Computed properties:
E above lowest polymorph = 0.4289 eV per atom
SG = I-4m2 (119)


[2]
Li2TiFeCl | GGA-PBEsol | relaxed

Cell lengths 4.781, 4.781, 4.036 Å; angles 90.00, 90.00, 90.00 degrees
Sites, in units of the cell vectors:
Li: 0.000 0.500 0.000
Li: 0.500 0.000 0.000
Ti: 0.000 0.000 0.500
Fe: 0.000 0.000 0.000
Cl: 0.500 0.500 0.500

Computed properties:
SG = P4/mmm (123)


[3]
KCaCl2 | GGA-PBEsol | relaxed

Cell lengths 3.842, 4.143, 7.409 Å; angles 90.00, 90.00, 90.00 degrees
Sites, in units of the cell vectors:
K: 0.000 0.000 0.000
Ca: 0.000 0.500 0.500
Cl: 0.500 0.500 0.232
Cl: 0.500 0.500 0.768

Computed properties:
SG = Pmmm (47)


Number 1: formation energy (no corrections) 299 meV/atom. Number 2: formation energy (no corrections) 382 meV/atom. Number 3: formation energy (no corrections) -1711 meV/atom.